Ca2IrPbN | PBE | optimized geometry

a b c (Å): 5.324 5.324 3.788
angles (deg): 90.00 90.00 90.00
Space group P4/mmm (No. 123)
Unique sites:
Ca (0.000, 0.500, 0.000) [2 per cell]
Ir (0.000, 0.000, 0.500) [1 per cell]
Pb (0.500, 0.500, 0.500) [1 per cell]
N (0.000, 0.000, 0.000) [1 per cell]

- VASP energy (eV per cell) = -27.6
- spin magnetization (μB/f.u.) = 0.00
- formation energy without anion corrections (meV per atom) = -537


LiY2Ag | PBE | optimized geometry

a b c (Å): 3.590 4.800 6.054
angles (deg): 90.00 107.14 90.00
Space group Pm (No. 6)
Unique sites:
Li (0.000, 0.000, 0.000) [1 per cell]
Y (0.276, 0.000, 0.552) [1 per cell]
Y (0.588, 0.500, 0.176) [1 per cell]
Ag (0.865, 0.500, 0.729) [1 per cell]

- relative energy among the computed polymorphs (meV/atom) = 40
- VASP energy (eV per cell) = -18.0
- spin magnetization (μB/f.u.) = 0.00


ZrInMo2 | PBE | optimized geometry

a b c (Å): 3.1389 3.1389 27.2670
angles (deg): 90.00 90.00 120.00
Space group R3m (No. 160, hexagonal axes)
Unique sites:
Zr (0.0000, 0.0000, 0.0000) [3 per cell]
In (0.0000, 0.0000, 0.2370) [3 per cell]
Mo (0.0000, 0.0000, 0.4829) [3 per cell]
Mo (0.0000, 0.0000, 0.7477) [3 per cell]

- VASP energy (eV per cell) = -96.7
- spin magnetization (μB/f.u.) = 0.00


Pm12Co5Te | PBE | optimized geometry

a b c (Å): 9.706 9.804 10.112
angles (deg): 90.00 90.00 90.00
Space group Immm (No. 71)
Unique sites:
Pm (0.000, 0.192, 0.198) [8 per cell]
Pm (0.190, 0.500, 0.189) [8 per cell]
Pm (0.205, 0.316, 0.500) [8 per cell]
Co (0.000, 0.000, 0.000) [2 per cell]
Co (0.000, 0.380, 0.000) [4 per cell]
Co (0.000, 0.500, 0.390) [4 per cell]
Te (0.000, 0.000, 0.500) [2 per cell]

- VASP energy (eV per cell) = -199.3
- spin magnetization (μB/f.u.) = 0.00
- formation energy without anion corrections (meV per atom) = -222


Rb2CaAgCl5 | PBE | optimized geometry

a b c (Å): 4.271 19.127 13.692
angles (deg): 90.00 90.00 90.00
Space group Cmc2_1 (No. 36)
Unique sites:
Rb (0.000, 0.106, 0.000) [4 per cell]
Rb (0.000, 0.129, 0.633) [4 per cell]
Ca (0.000, 0.209, 0.339) [4 per cell]
Ag (0.000, 0.451, 0.769) [4 per cell]
Cl (0.000, 0.066, 0.373) [4 per cell]
Cl (0.000, 0.283, 0.972) [4 per cell]
Cl (0.000, 0.304, 0.707) [4 per cell]
Cl (0.000, 0.350, 0.322) [4 per cell]
Cl (0.000, 0.499, 0.102) [4 per cell]

- VASP energy (eV per cell) = -128.2
- spin magnetization (μB/f.u.) = 0.00
- formation energy without anion corrections (meV per atom) = -1782